Material: Mn2VF6
Method: DFT, PBE+U
State: relaxed

Properties
As for the total magnetization: 26.00 μB/cell. The value obtained for the total energy is -57.76 eV per formula unit. As for the space-group type: P4_2/mnm (136).

Unit cell a=4.9481 b=4.9481 c=9.9988 alpha=90.00 beta=90.00 gamma=90.00
Closest atoms and distances in Å follow each position.
Sites, in units of the cell vectors:
Mn1 0.0000 0.0000 0.1662  6 F 2.14-2.16
Mn2 0.0000 0.0000 0.8338  6 F 2.14-2.16
Mn3 0.5000 0.5000 0.3338  6 F 2.14-2.16
Mn4 0.5000 0.5000 0.6662  6 F 2.14-2.16
V1 0.0000 0.0000 0.5000  6 F 2.13-2.14
V2 0.5000 0.5000 0.0000  6 F 2.13-2.14
F1 0.1936 0.1936 0.3348  1 V 2.14, 2 Mn 2.14-2.16
F2 0.1936 0.1936 0.6652  1 V 2.14, 2 Mn 2.14-2.16
F3 0.1957 0.1957 0.0000  1 V 2.13, 2 Mn 2.15
F4 0.3043 0.6957 0.5000  1 V 2.13, 2 Mn 2.15
F5 0.3064 0.6936 0.1652  1 V 2.14, 2 Mn 2.14-2.16
F6 0.3064 0.6936 0.8348  1 V 2.14, 2 Mn 2.14-2.16
F7 0.6936 0.3064 0.1652  1 V 2.14, 2 Mn 2.14-2.16
F8 0.6936 0.3064 0.8348  1 V 2.14, 2 Mn 2.14-2.16
F9 0.6957 0.3043 0.5000  1 V 2.13, 2 Mn 2.15
F10 0.8043 0.8043 0.0000  1 V 2.13, 2 Mn 2.15
F11 0.8064 0.8064 0.3348  1 V 2.14, 2 Mn 2.14-2.16
F12 0.8064 0.8064 0.6652  1 V 2.14, 2 Mn 2.14-2.16